# 1
The following is a PBE calculation of a relaxed AcBe2IrO8 crystal, from Alexandria via LeMat-Bulk.

Unit cell a=5.130 b=5.130 c=6.817 alpha=90.00 beta=90.00 gamma=120.00
Fractional coordinates of all 12 atoms:
Ac1 0.000 0.000 0.500
Be1 0.667 0.333 0.250
Be2 0.333 0.667 0.750
Ir1 0.000 0.000 0.000
O1 0.834 0.166 0.170
O2 0.834 0.668 0.170
O3 0.332 0.166 0.170
O4 0.668 0.834 0.830
O5 0.333 0.667 0.514
O6 0.667 0.333 0.486
O7 0.166 0.834 0.830
O8 0.166 0.332 0.830

Calculated values
- Electronic total energy: -6.55 eV per atom
- Theoretical density: 6.04 g/cm3

=====

# 2
The following is a PBE calculation of a relaxed Eu2AsS crystal, from Alexandria via LeMat-Bulk.

Unit cell a=4.212 b=4.212 c=7.367 alpha=73.39 beta=73.39 gamma=60.00
Fractional coordinates of all 4 atoms:
Eu1 0.248 0.248 0.255
Eu2 0.752 0.752 0.745
As1 0.000 0.000 0.000
S1 0.500 0.500 0.500

Calculated values
- Electronic total energy: -8.96 eV per atom
- Theoretical density: 6.39 g/cm3

=====

# 3
The following is a PBE calculation of a relaxed LiAlAsSe2 crystal, from Alexandria via LeMat-Bulk.

Unit cell a=4.837 b=4.837 c=4.419 alpha=90.00 beta=90.00 gamma=90.00
Fractional coordinates of all 5 atoms:
As1 0.000 0.000 0.500
Al1 0.500 0.500 0.500
Se1 0.000 0.500 0.000
Se2 0.500 0.000 0.000
Li1 0.000 0.000 0.000

Calculated values
- Energy above the lowest structure with this stoichiometry: 419 meV/atom
- Theoretical density: 4.29 g/cm3

=====

# 4
The following is a PBE calculation of a relaxed Y2TaAl crystal, from Alexandria via LeMat-Bulk.

Unit cell a=10.409 b=10.409 c=10.409 alpha=18.26 beta=18.26 gamma=18.26
Fractional coordinates of all 4 atoms:
Y1 0.000 0.000 0.000
Y2 0.500 0.500 0.500
Al1 0.250 0.250 0.250
Ta1 0.750 0.750 0.750

Calculated values
- Energy of formation: 0.208 eV/atom
- Theoretical density: 6.63 g/cm3

=====

# 5
The following is a PBE calculation of a relaxed KCaZn crystal, from Alexandria via LeMat-Bulk.

Unit cell a=5.444 b=5.444 c=4.677 alpha=90.00 beta=90.00 gamma=120.00
Fractional coordinates of all 3 atoms:
Ca1 0.000 0.000 0.839
K1 0.667 0.333 0.336
Zn1 0.333 0.667 0.825

Calculated values
- Energy of formation: 0.200 eV/atom
- Theoretical density: 2.00 g/cm3

=====

# 6
The following is a PBE calculation of a relaxed Hf2ZrPa crystal, from Alexandria via LeMat-Bulk.

Unit cell a=5.068 b=5.068 c=5.068 alpha=60.00 beta=60.00 gamma=60.00
Fractional coordinates of all 4 atoms:
Pa1 0.000 0.000 0.000
Hf1 0.250 0.250 0.250
Hf2 0.750 0.750 0.750
Zr1 0.500 0.500 0.500

Calculated values
- Energy above the lowest structure with this stoichiometry: 102 meV/atom
- Energy of formation: 0.142 eV/atom
- Theoretical density: 12.26 g/cm3

=====

# 7
The following is a PBE calculation of a relaxed CoNiPd3 crystal, from Alexandria via LeMat-Bulk.

Unit cell a=4.525 b=4.525 c=4.525 alpha=90.00 beta=90.00 gamma=90.00
Fractional coordinates of all 5 atoms:
Ni1 0.500 0.500 0.500
Co1 0.000 0.000 0.000
Pd1 0.000 0.500 0.000
Pd2 0.000 0.000 0.500
Pd3 0.500 0.000 0.000

Calculated values
- Energy above the lowest structure with this stoichiometry: 1029 meV/atom
- Energy of formation: 1.053 eV/atom
- Theoretical density: 7.83 g/cm3

=====

# 8
The following is a PBE calculation of a relaxed Li2TlCuP crystal, from Alexandria via LeMat-Bulk.

Unit cell a=4.806 b=4.806 c=4.339 alpha=90.00 beta=90.00 gamma=90.00
Fractional coordinates of all 5 atoms:
P1 0.000 0.000 0.000
Tl1 0.500 0.500 0.500
Cu1 0.000 0.000 0.500
Li1 0.000 0.500 0.000
Li2 0.500 0.000 0.000

Calculated values
- Energy of formation: -0.215 eV/atom
- Theoretical density: 5.18 g/cm3

=====

# 9
The following is a PBE calculation of a relaxed ErFe5Si2 crystal, from Alexandria via LeMat-Bulk.

Unit cell a=3.396 b=6.053 c=6.053 alpha=70.22 beta=73.71 gamma=73.71
Fractional coordinates of all 8 atoms:
Er1 0.000 0.000 0.000
Fe1 0.000 0.500 0.500
Fe2 0.648 0.539 0.164
Fe3 0.352 0.461 0.836
Fe4 0.352 0.836 0.461
Fe5 0.648 0.164 0.539
Si1 0.745 0.755 0.755
Si2 0.255 0.245 0.245

Calculated values
- Electronic total energy: -7.56 eV per atom
- Theoretical density: 7.59 g/cm3

=====

# 10
The following is a PBE calculation of a relaxed CdCu4Pt15 crystal, from Alexandria via LeMat-Bulk.

Unit cell a=3.922 b=3.922 c=19.753 alpha=90.00 beta=90.00 gamma=90.00
Fractional coordinates of all 20 atoms:
Cd1 0.000 0.000 0.000
Cu1 0.000 0.000 0.205
Cu2 0.000 0.000 0.402
Cu3 0.000 0.000 0.598
Cu4 0.000 0.000 0.795
Pt1 0.500 0.500 0.000
Pt2 0.500 0.500 0.205
Pt3 0.500 0.500 0.402
Pt4 0.500 0.500 0.598
Pt5 0.500 0.500 0.795
Pt6 0.500 0.000 0.107
Pt7 0.500 0.000 0.303
Pt8 0.500 0.000 0.500
Pt9 0.500 0.000 0.697
Pt10 0.500 0.000 0.893
Pt11 0.000 0.500 0.107
Pt12 0.000 0.500 0.303
Pt13 0.000 0.500 0.500
Pt14 0.000 0.500 0.697
Pt15 0.000 0.500 0.893

Calculated values
- Energy of formation: -0.130 eV/atom
- Theoretical density: 17.99 g/cm3

=====

# 11
The following is a PBE calculation of a relaxed LiHfI2 crystal, from Alexandria via LeMat-Bulk.

Unit cell a=5.115 b=5.115 c=5.115 alpha=60.00 beta=60.00 gamma=60.00
Fractional coordinates of all 4 atoms:
I1 0.250 0.250 0.250
I2 0.750 0.750 0.750
Hf1 0.500 0.500 0.500
Li1 0.000 0.000 0.000

Calculated values
- Energy above the lowest structure with this stoichiometry: 0 meV/atom
- Theoretical density: 7.71 g/cm3

=====

# 12
The following is a PBE calculation of a relaxed CdBrO2 crystal, from Alexandria via LeMat-Bulk.

Unit cell a=3.413 b=3.413 c=4.999 alpha=90.00 beta=90.00 gamma=90.00
Fractional coordinates of all 4 atoms:
O1 0.500 0.500 0.500
O2 0.000 0.000 0.000
Br1 0.000 0.000 0.500
Cd1 0.500 0.500 0.000

Calculated values
- Energy above the lowest structure with this stoichiometry: 457 meV/atom
- Theoretical density: 6.40 g/cm3

=====

Which value of theoretical density does entry 2 give?
6.39 g/cm3

=====

Which value of theoretical density does entry 11 give?
7.71 g/cm3